Record 1
Below is crystalline Mg2MnTl at its relaxed geometry, with properties calculated at the PBE-GGA level.

Calculated values
The value obtained for the calculated formation energy is 0.1728 eV/atom. As for the energy above the most stable polymorph in this dataset: 17 meV/atom. The space group is P4/mmm.

```
Mg2MnTl
1.0
3.563 0.000 0.000
0.000 3.571 0.000
0.000 0.000 6.483
Mg Mn Tl
2 1 1
Direct
0.000 0.000 0.025 Mg
0.000 0.000 0.475 Mg
0.500 0.500 0.250 Mn
0.500 0.500 0.750 Tl
```

---

Record 2
Below is crystalline LaCrMo2 at its relaxed geometry, with properties calculated at the PBE-GGA level.

Calculated values
The value obtained for the calculated formation energy is 1.0318 eV/atom. As for the energy above the most stable polymorph in this dataset: 618 meV/atom. The space group is I4_1/amd.

```
LaCrMo2
1.0
-2.812 -3.688 1.549
3.983 -2.408 1.498
-0.029 0.506 8.867
Cr Mo La
2 4 2
Direct
0.500 0.500 0.000 Cr
0.250 0.750 0.500 Cr
0.375 0.125 0.250 Mo
0.375 0.625 0.250 Mo
0.375 0.625 0.750 Mo
0.875 0.625 0.750 Mo
0.000 0.000 0.000 La
0.750 0.250 0.500 La
```

---

Record 3
Below is crystalline MgTe4 at its relaxed geometry, with properties calculated at the PBE-GGA level.

Calculated values
As for the energy above the most stable polymorph in this dataset: 92 meV/atom. The space group is Im-3m.

```
MgTe4
1.0
-3.033 -3.394 3.812
-3.727 3.735 -2.723
2.651 -3.447 -4.042
Mg Te
1 4
Direct
0.000 0.000 0.000 Mg
0.000 0.500 0.000 Te
0.000 0.000 0.500 Te
0.500 0.500 0.500 Te
0.500 0.000 0.000 Te
```

---

Record 4
Below is crystalline TbCu4Rh2 at its relaxed geometry, with properties calculated at the PBE-GGA level.

Calculated values
The value obtained for the calculated formation energy is -0.2258 eV/atom. The space group is C2/m.

```
TbCu4Rh2
1.0
4.549 0.001 2.433
2.122 4.495 1.500
0.155 -0.327 5.179
Rh Tb Cu
2 1 4
Direct
0.751 0.499 0.499 Rh
0.249 0.501 0.501 Rh
0.000 0.000 0.000 Tb
0.691 0.615 0.000 Cu
0.309 0.385 0.000 Cu
0.691 0.000 0.615 Cu
0.309 0.000 0.385 Cu
```

---

Record 5
Below is crystalline LaCoAsW2 at its relaxed geometry, with properties calculated at the PBE-GGA level.

Calculated values
The value obtained for the calculated formation energy is 0.8794 eV/atom. The space group is P4/mmm.

```
LaCoAsW2
1.0
4.500 0.000 0.000
0.000 5.434 0.000
0.000 0.000 4.500
As Co W La
1 1 2 1
Direct
0.500 0.500 0.500 As
0.000 0.000 0.000 Co
0.000 0.000 0.500 W
0.500 0.000 0.000 W
0.000 0.500 0.000 La
```

---

Record 6
Below is crystalline Tb2Sm2Dy4Ho at its relaxed geometry, with properties calculated at the PBE-GGA level.

Calculated values
The value obtained for the calculated formation energy is -0.0011 eV/atom. The space group is C2/m.

```
Tb2Sm2Dy4Ho
1.0
3.594 0.000 0.000
-1.797 9.317 -0.504
0.000 -3.674 8.819
Tb Sm Dy Ho
2 2 4 1
Direct
0.853 0.705 0.336 Tb
0.147 0.295 0.664 Tb
0.334 0.668 0.000 Sm
0.666 0.332 0.000 Sm
0.815 0.629 0.665 Dy
0.185 0.371 0.335 Dy
0.519 0.038 0.334 Dy
0.481 0.962 0.666 Dy
0.000 0.000 0.000 Ho
```

---

Record 7
Below is crystalline VAs2BrCl at its relaxed geometry, with properties calculated at the PBE-GGA level.

Calculated values
As for the energy above the most stable polymorph in this dataset: 964 meV/atom. The space group is P4/mmm.

```
VAs2BrCl
1.0
4.705 0.000 0.000
0.000 4.705 0.000
0.000 0.000 6.127
As Cl Br V
2 1 1 1
Direct
0.000 0.500 0.000 As
0.500 0.000 0.000 As
0.000 0.000 0.000 Cl
0.000 0.000 0.500 Br
0.500 0.500 0.500 V
```

---

Record 8
Below is crystalline UAg2Ir2S6 at its relaxed geometry, with properties calculated at the PBE-GGA level.

Calculated values
The space group is C2/m. The final energy comes out at -65.70 eV per cell.

```
UAg2Ir2S6
1.0
6.079 0.006 0.141
-3.000 5.288 0.141
-1.006 -1.729 6.582
U Ag Ir S
1 2 2 6
Direct
0.000 0.000 0.500 U
0.858 0.142 0.000 Ag
0.142 0.858 0.000 Ag
0.333 0.667 0.500 Ir
0.667 0.333 0.500 Ir
0.690 0.690 0.716 S
0.059 0.434 0.716 S
0.310 0.310 0.284 S
0.434 0.059 0.716 S
0.941 0.566 0.284 S
0.566 0.941 0.284 S
```

---

Record 9
Below is crystalline Np2Ga2Au at its relaxed geometry, with properties calculated at the PBE-GGA level.

Calculated values
The value obtained for the calculated formation energy is -0.1167 eV/atom. The space group is P2/m.

```
Np2Ga2Au
1.0
-0.777 2.696 0.904
-4.624 -1.515 0.546
3.681 -1.039 6.260
Np Ga Au
2 2 1
Direct
0.500 0.391 0.783 Np
0.500 0.609 0.217 Np
0.000 0.802 0.605 Ga
0.000 0.198 0.395 Ga
0.000 0.000 0.000 Au
```

---

Record 10
Below is crystalline RbLa3W at its relaxed geometry, with properties calculated at the PBE-GGA level.

Calculated values
The value obtained for the calculated formation energy is 0.5428 eV/atom. As for the energy above the most stable polymorph in this dataset: 0 meV/atom. The space group is Pm-3m.

```
RbLa3W
1.0
-4.596 2.285 2.768
-1.935 -5.365 1.216
3.023 0.039 4.986
Rb W La
1 1 3
Direct
0.500 0.500 0.500 Rb
0.000 0.000 0.000 W
0.000 0.500 0.000 La
0.000 0.000 0.500 La
0.500 0.000 0.000 La
```

---

Record 11
Below is crystalline KY at its relaxed geometry, with properties calculated at the PBE-GGA level.

Calculated values
The value obtained for the calculated formation energy is 0.6969 eV/atom. The space group is I4_1/amd.

```
KY
1.0
6.261 -0.104 0.000
0.126 6.261 0.000
-3.194 -3.079 4.420
K Y
2 2
Direct
0.000 0.000 0.000 K
0.250 0.750 0.500 K
0.500 0.500 0.000 Y
0.750 0.250 0.500 Y
```

---

Record 12
Below is crystalline TiReTeN2 at its relaxed geometry, with properties calculated at the PBE-GGA level.

Calculated values
As for the energy above the most stable polymorph in this dataset: 0 meV/atom. The space group is P4/mmm.

```
TiReTeN2
1.0
3.888 0.000 0.000
0.000 3.888 0.000
0.000 0.000 5.651
Re N Te Ti
1 2 1 1
Direct
0.000 0.000 0.000 Re
0.000 0.500 0.000 N
0.500 0.000 0.000 N
0.000 0.000 0.500 Te
0.500 0.500 0.500 Ti
```

---

Record 13
Below is crystalline AsPNF2 at its relaxed geometry, with properties calculated at the PBE-GGA level.

Calculated values
As for the energy above the most stable polymorph in this dataset: 174 meV/atom. The space group is P4/mmm.

```
AsPNF2
1.0
-1.671 2.034 -3.032
2.091 -2.200 -2.629
-3.269 -2.921 -0.157
P As N F
1 1 1 2
Direct
0.500 0.500 0.500 P
0.000 0.000 0.000 As
0.000 0.000 0.500 N
0.000 0.500 0.000 F
0.500 0.000 0.000 F
```

---

Record 14
Below is crystalline Fe2AgW at its relaxed geometry, with properties calculated at the PBE-GGA level.

Calculated values
The value obtained for the calculated formation energy is 0.4369 eV/atom. As for the energy above the most stable polymorph in this dataset: 137 meV/atom. The space group is Cm.

```
Fe2AgW
1.0
-3.673 3.072 -1.020
-4.532 0.537 -1.773
-2.865 -0.073 3.514
Ag Fe W
1 2 1
Direct
0.263 0.263 0.214 Ag
0.021 0.021 0.007 Fe
0.731 0.731 0.738 Fe
0.485 0.485 0.541 W
```

---

Record 15
Below is crystalline ZrScBe2Pb at its relaxed geometry, with properties calculated at the PBE-GGA level.

Calculated values
The value obtained for the calculated formation energy is 1.2121 eV/atom. The space group is P4/mmm.

```
ZrScBe2Pb
1.0
-1.884 -4.616 0.309
3.469 -1.142 4.079
-3.375 1.599 3.318
Pb Sc Zr Be
1 1 1 2
Direct
0.500 0.500 0.500 Pb
0.000 0.500 0.000 Sc
0.000 0.000 0.000 Zr
0.000 0.000 0.500 Be
0.500 0.000 0.000 Be
```

---

Record 16
Below is crystalline Rb3Hg4 at its relaxed geometry, with properties calculated at the PBE-GGA level.

Calculated values
The value obtained for the calculated formation energy is -0.2467 eV/atom. As for the energy above the most stable polymorph in this dataset: 0 meV/atom. The space group is Immm.

```
Rb3Hg4
1.0
5.289 0.000 0.000
0.000 5.049 0.000
-2.645 -2.524 11.269
Rb Hg
3 4
Direct
0.500 0.000 0.000 Rb
0.187 0.187 0.374 Rb
0.813 0.813 0.626 Rb
0.068 0.568 0.135 Hg
0.932 0.432 0.865 Hg
0.641 0.641 0.282 Hg
0.359 0.359 0.718 Hg
```

---

Record 17
Below is crystalline ReAgSb at its relaxed geometry, with properties calculated at the PBE-GGA level.

Calculated values
As for the energy above the most stable polymorph in this dataset: 28 meV/atom. The space group is P-6m2.

```
ReAgSb
1.0
4.770 0.000 0.000
-2.385 4.131 0.000
0.000 0.000 2.835
Re Ag Sb
1 1 1
Direct
0.667 0.333 0.500 Re
0.000 0.000 0.000 Ag
0.333 0.667 0.500 Sb
```

---

Record 18
Below is crystalline PrYScHg at its relaxed geometry, with properties calculated at the PBE-GGA level.

Calculated values
The value obtained for the calculated formation energy is -0.0911 eV/atom. The space group is F-43m.

```
PrYScHg
1.0
-5.271 0.877 -0.807
-3.667 -2.775 2.839
-2.935 2.495 3.790
Pr Y Sc Hg
1 1 1 1
Direct
0.500 0.500 0.500 Pr
0.000 0.000 0.000 Y
0.750 0.750 0.750 Sc
0.250 0.250 0.250 Hg
```

---

Record 19
Below is crystalline CdTcPb2N at its relaxed geometry, with properties calculated at the PBE-GGA level.

Calculated values
The space group is P4/mmm. The final energy comes out at -21.51 eV per cell.

```
CdTcPb2N
1.0
5.037 0.000 0.000
0.000 4.083 0.000
0.000 0.000 5.037
Pb N Tc Cd
2 1 1 1
Direct
0.000 0.000 0.500 Pb
0.500 0.000 0.000 Pb
0.000 0.000 0.000 N
0.500 0.500 0.500 Tc
0.000 0.500 0.000 Cd
```

---

Record 20
Below is crystalline BaCaMoPd2 at its relaxed geometry, with properties calculated at the PBE-GGA level.

Calculated values
The value obtained for the calculated formation energy is 0.8317 eV/atom. As for the energy above the most stable polymorph in this dataset: 431 meV/atom. The space group is P4/mmm.

```
BaCaMoPd2
1.0
5.178 0.000 0.000
0.000 5.386 0.000
0.000 0.000 5.178
Mo Ca Ba Pd
1 1 1 2
Direct
0.000 0.500 0.000 Mo
0.000 0.000 0.000 Ca
0.500 0.500 0.500 Ba
0.000 0.000 0.500 Pd
0.500 0.000 0.000 Pd
```

---

Number 1: spin magnetization 3.66 μB per formula unit. Number 2: spin magnetization 0.00 μB per formula unit. Number 3: spin magnetization 0.00 μB per formula unit. Number 4: spin magnetization 0.01 μB per formula unit. Number 5: spin magnetization 0.00 μB per formula unit. Number 6: spin magnetization 0.00 μB per formula unit. Number 7: spin magnetization 2.24 μB per formula unit. Number 8: spin magnetization 1.93 μB per formula unit. Number 9: spin magnetization 8.33 μB per formula unit. Number 10: spin magnetization 0.00 μB per formula unit. Number 11: spin magnetization 0.00 μB per formula unit. Number 12: spin magnetization 0.00 μB per formula unit. Number 13: spin magnetization 1.32 μB per formula unit. Number 14: spin magnetization 3.58 μB per formula unit. Number 15: spin magnetization 0.00 μB per formula unit. Number 16: spin magnetization 0.00 μB per formula unit. Number 17: spin magnetization 0.00 μB per formula unit. Number 18: spin magnetization 0.51 μB per formula unit. Number 19: spin magnetization 0.01 μB per formula unit. Number 20: spin magnetization 3.76 μB per formula unit.